1.
Cr3CuI | SCAN | single point on PBEsol structure

- Uncorrected formation energy: 4.4 eV/f.u.
- Calculated volume: 20.831 A^3/atom
- Energy: -102.72 eV per cell
- Fermi-level density of states: 0.8501 states/eV per atom

Structure (POSCAR):
```
Cr3CuI
1.0
4.705 0.000 0.000
0.000 4.705 0.000
0.000 0.000 4.705
I Cr Cu
1 3 1
direct
0.500 0.500 0.500 I
0.000 0.500 0.000 Cr
0.000 0.000 0.500 Cr
0.500 0.000 0.000 Cr
0.000 0.000 0.000 Cu
```

2.
Y2Tc | SCAN | single point on PBEsol structure

- Calculated volume: 24.026 A^3/atom
- Excess energy over the best structure of this formula in the dataset: 0 meV per atom
- Energy: -90.89 eV per cell
- Fermi-level density of states: 1.0430 states/eV per atom

Structure (POSCAR):
```
Y2Tc
1.0
3.414 0.000 0.000
0.000 3.414 0.000
-1.707 -1.707 6.186
Y Tc
2 1
direct
0.370 0.370 0.739 Y
0.630 0.630 0.261 Y
0.000 0.000 0.000 Tc
```

3.
YBeRe2 | SCAN | single point on PBEsol structure

- Calculated volume: 15.311 A^3/atom
- Energy: -173.29 eV per cell
- Fermi-level density of states: 0.5687 states/eV per atom

Structure (POSCAR):
```
YBeRe2
1.0
-0.057 1.965 1.742
-3.784 -1.915 2.037
4.864 -2.621 1.137
Y Re Be
1 2 1
direct
0.500 0.000 0.000 Y
0.707 0.707 0.413 Re
0.293 0.293 0.587 Re
0.000 0.500 0.000 Be
```

4.
RbIn2P2 | SCAN | single point on PBEsol structure

- Calculated volume: 28.271 A^3/atom
- Energy: -109.53 eV per cell
- Fermi-level density of states: 0.1578 states/eV per atom

Structure (POSCAR):
```
RbIn2P2
1.0
4.587 0.000 0.000
0.000 4.587 0.000
-2.293 -2.293 6.720
P Rb In
2 1 2
direct
0.354 0.354 0.707 P
0.646 0.646 0.293 P
0.000 0.000 0.000 Rb
0.250 0.750 0.500 In
0.750 0.250 0.500 In
```

5.
Cu3Pt | SCAN | single point on PBEsol structure

- Calculated volume: 12.323 A^3/atom
- Energy: -232.67 eV per cell
- Fermi-level density of states: 0.3230 states/eV per atom

Structure (POSCAR):
```
Cu3Pt
1.0
-1.323 2.671 -3.029
-4.170 -1.480 0.517
-0.853 3.663 3.601
Cu Pt
6 2
direct
0.500 0.324 0.000 Cu
0.000 0.167 0.748 Cu
0.500 0.833 0.752 Cu
0.000 0.676 0.500 Cu
0.000 0.167 0.252 Cu
0.500 0.833 0.248 Cu
0.000 0.669 0.000 Pt
0.500 0.331 0.500 Pt
```

6.
PAu3 | SCAN | single point on PBEsol structure

- Calculated volume: 16.685 A^3/atom
- Excess energy over the best structure of this formula in the dataset: 379 meV per atom
- Energy: -216.49 eV per cell
- Fermi-level density of states: 0.2837 states/eV per atom

Structure (POSCAR):
```
PAu3
1.0
2.783 0.000 0.000
-0.928 5.263 0.000
-0.928 -2.631 4.558
Au P
3 1
direct
0.500 0.000 0.500 Au
0.000 0.500 0.500 Au
0.500 0.500 0.000 Au
0.000 0.000 0.000 P
```

7.
MgMoRu2 | SCAN | single point on PBEsol structure

- Calculated volume: 14.308 A^3/atom
- Energy: -109.76 eV per cell
- Fermi-level density of states: 0.3811 states/eV per atom

Structure (POSCAR):
```
MgMoRu2
1.0
-0.480 -2.747 -1.312
3.044 -1.731 2.511
-2.976 -0.905 2.983
Ru Mo Mg
2 1 1
direct
0.000 0.000 0.500 Ru
0.000 0.500 0.000 Ru
0.500 0.000 0.000 Mo
0.500 0.500 0.500 Mg
```

8.
LaScCo4 | SCAN | single point on PBEsol structure

- Calculated volume: 13.969 A^3/atom
- Energy: -126.68 eV per cell
- Fermi-level density of states: 0.9982 states/eV per atom

Structure (POSCAR):
```
LaScCo4
1.0
-0.661 -4.108 2.611
2.171 -4.177 -1.403
3.703 -1.852 2.644
Sc Co La
1 4 1
direct
0.000 0.000 0.000 Sc
0.626 0.626 0.122 Co
0.122 0.626 0.626 Co
0.626 0.122 0.626 Co
0.626 0.626 0.626 Co
0.250 0.250 0.250 La
```

9.
LaFeW2 | SCAN | single point on PBEsol structure

- Calculated volume: 16.131 A^3/atom
- Excess energy over the best structure of this formula in the dataset: 576 meV per atom
- Energy: -196.37 eV per cell
- Fermi-level density of states: 0.9239 states/eV per atom

Structure (POSCAR):
```
LaFeW2
1.0
-3.510 1.198 -2.553
0.172 -0.553 -4.465
-2.528 -3.158 -1.976
Fe La W
1 1 2
direct
0.000 0.000 0.000 Fe
0.500 0.500 0.500 La
0.750 0.750 0.750 W
0.250 0.250 0.250 W
```

10.
ZrTlSe | SCAN | single point on PBEsol structure

- Uncorrected formation energy: -0.3 eV/f.u.
- Calculated volume: 24.076 A^3/atom
- Energy: -123.41 eV per cell
- Fermi-level density of states: 0.7012 states/eV per atom

Structure (POSCAR):
```
ZrTlSe
1.0
4.675 0.000 0.000
2.337 4.048 0.000
2.337 1.349 3.817
Se Tl Zr
1 1 1
direct
0.250 0.250 0.250 Se
0.000 0.000 0.000 Tl
0.500 0.500 0.500 Zr
```

11.
CaMgPb2 | SCAN | single point on PBEsol structure

- Calculated volume: 27.106 A^3/atom
- Energy: -167.85 eV per cell
- Fermi-level density of states: 0.4966 states/eV per atom

Structure (POSCAR):
```
CaMgPb2
1.0
4.565 0.000 0.000
0.000 4.565 0.000
-2.283 -2.283 5.203
Pb Ca Mg
2 1 1
direct
0.000 0.000 0.000 Pb
0.750 0.250 0.500 Pb
0.500 0.500 0.000 Ca
0.250 0.750 0.500 Mg
```

12.
CaB4 | SCAN | single point on PBEsol structure

- Calculated volume: 10.317 A^3/atom
- Energy: -166.76 eV per cell
- Fermi-level density of states: 0.1291 states/eV per atom

Structure (POSCAR):
```
CaB4
1.0
-3.308 -0.570 2.295
-0.044 -6.898 -1.778
4.142 -1.471 5.605
Ca B
4 16
direct
0.500 0.687 0.187 Ca
0.500 0.313 0.813 Ca
0.500 0.187 0.313 Ca
0.500 0.813 0.687 Ca
0.294 0.000 0.000 B
0.706 0.000 0.000 B
0.706 0.500 0.500 B
0.294 0.500 0.500 B
0.000 0.176 0.036 B
0.000 0.824 0.964 B
0.000 0.036 0.824 B
0.000 0.676 0.464 B
0.000 0.964 0.176 B
0.000 0.324 0.536 B
0.000 0.536 0.676 B
0.000 0.464 0.324 B
0.000 0.086 0.586 B
0.000 0.914 0.414 B
0.000 0.586 0.914 B
0.000 0.414 0.086 B
```

13.
NiSbW | SCAN | single point on PBEsol structure

- Uncorrected formation energy: 1.8 eV/f.u.
- Calculated volume: 16.095 A^3/atom
- Energy: -121.37 eV per cell
- Fermi-level density of states: 0.5221 states/eV per atom

Structure (POSCAR):
```
NiSbW
1.0
2.975 0.000 0.000
-1.488 2.577 0.000
0.000 0.000 6.298
Ni Sb W
1 1 1
direct
0.000 0.000 0.008 Ni
0.333 0.667 0.681 Sb
0.667 0.333 0.311 W
```

14.
CaLa2P | SCAN | single point on PBEsol structure

- Calculated volume: 25.871 A^3/atom
- Energy: -107.83 eV per cell
- Fermi-level density of states: 0.8837 states/eV per atom

Structure (POSCAR):
```
CaLa2P
1.0
4.551 0.000 0.000
0.000 4.551 0.000
-2.276 -2.276 4.996
Ca La P
1 2 1
direct
0.250 0.750 0.500 Ca
0.000 0.000 0.000 La
0.750 0.250 0.500 La
0.500 0.500 0.000 P
```

15.
AlNi | SCAN | single point on PBEsol structure

- Calculated volume: 11.837 A^3/atom
- Energy: -50.51 eV per cell
- Fermi-level density of states: 0.2188 states/eV per atom

Structure (POSCAR):
```
AlNi
1.0
-2.618 -2.160 -0.676
1.610 -1.051 -2.878
2.320 -1.239 3.832
Ni Al
2 2
direct
0.750 0.250 0.500 Ni
0.500 0.500 0.000 Ni
0.250 0.750 0.500 Al
0.000 0.000 0.000 Al
```

16.
TaBeB | SCAN | single point on PBEsol structure

- Calculated volume: 9.785 A^3/atom
- Energy: -80.39 eV per cell
- Fermi-level density of states: 0.0861 states/eV per atom

Structure (POSCAR):
```
TaBeB
1.0
3.237 0.000 0.000
-1.619 2.803 0.000
0.000 0.000 3.235
Be B Ta
1 1 1
direct
0.333 0.667 0.500 Be
0.000 0.000 0.500 B
0.667 0.333 0.000 Ta
```

17.
LaAs2PbSe | SCAN | single point on PBEsol structure

- Uncorrected formation energy: -0.4 eV/f.u.
- Calculated volume: 29.041 A^3/atom
- Energy: -179.71 eV per cell
- Fermi-level density of states: 0.8330 states/eV per atom

Structure (POSCAR):
```
LaAs2PbSe
1.0
5.199 0.000 0.000
0.000 5.199 0.000
0.000 0.000 5.372
Pb As Se La
1 2 1 1
direct
0.000 0.000 0.000 Pb
0.000 0.500 0.000 As
0.500 0.000 0.000 As
0.000 0.000 0.500 Se
0.500 0.500 0.500 La
```

18.
K2AlBSb | SCAN | single point on PBEsol structure

- Uncorrected formation energy: 2.6 eV/f.u.
- Calculated volume: 32.605 A^3/atom
- Energy: -66.47 eV per cell
- Fermi-level density of states: 0.9026 states/eV per atom

Structure (POSCAR):
```
K2AlBSb
1.0
3.857 0.000 0.000
0.000 6.501 0.000
0.000 0.000 6.501
Sb K B Al
1 2 1 1
direct
0.500 0.500 0.500 Sb
0.000 0.000 0.500 K
0.000 0.500 0.000 K
0.500 0.000 0.000 B
0.000 0.000 0.000 Al
```

19.
YRu2Pt2 | SCAN | single point on PBEsol structure

- Calculated volume: 17.849 A^3/atom
- Energy: -239.52 eV per cell
- Fermi-level density of states: 0.9956 states/eV per atom

Structure (POSCAR):
```
YRu2Pt2
1.0
-1.913 1.880 3.112
3.103 -0.989 2.505
1.845 4.080 -4.043
Y Ru Pt
1 2 2
direct
0.000 0.000 0.000 Y
0.397 0.397 0.795 Ru
0.603 0.603 0.205 Ru
0.250 0.750 0.500 Pt
0.750 0.250 0.500 Pt
```

20.
In3Pb | SCAN | single point on PBEsol structure

- Calculated volume: 26.889 A^3/atom
- Energy: -175.66 eV per cell
- Fermi-level density of states: 0.2888 states/eV per atom

Structure (POSCAR):
```
In3Pb
1.0
-2.912 0.025 -4.474
-2.495 -4.445 -1.586
-5.321 -0.318 0.277
Pb In
1 3
direct
0.000 0.000 0.000 Pb
0.250 0.250 0.250 In
0.750 0.750 0.750 In
0.500 0.500 0.500 In
```